VASP calculation (PBE) on a geometry-optimized MnInI2N structure.

Computed properties:
Energy above the lowest structure with this stoichiometry in meV/atom: 0
Uncorrected formation energy in eV per atom: 0.1841
Calculated volume in Å³/cell: 158.7
VASP energy in eV/cell: -22.413

Lattice parameters (Å, degrees): 6.5995 6.5995 3.6450 90.00 90.00 90.00
Element x y z (fractional)
Mn1 0.0000 0.0000 0.0000
In1 0.5000 0.5000 0.5000
I1 0.0000 0.5000 0.0000
I2 0.5000 0.0000 0.0000
N1 0.0000 0.0000 0.5000

=====

VASP calculation (PBE) on a geometry-optimized MnInIN2 structure.

Computed properties:
Energy above the lowest structure with this stoichiometry in meV/atom: 492
Uncorrected formation energy in eV per atom: 1.5029
Calculated volume in Å³/cell: 114.2
VASP energy in eV/cell: -22.595

Lattice parameters (Å, degrees): 4.2091 4.2091 6.4455 90.00 90.00 90.00
Element x y z (fractional)
Mn1 0.0000 0.0000 0.0000
In1 0.5000 0.5000 0.5000
I1 0.5000 0.5000 0.0000
N1 0.0000 0.5000 0.5000
N2 0.5000 0.0000 0.5000

=====

> Which of these has the highest VASP energy?

MnInI2N